Here is a relaxed MnTlSn2Sb crystal from Alexandria via LeMat-Bulk. Energies are from PBE.

abc: 5.187 5.271 5.187
angles: 90.00 90.00 90.00
Element x y z (fractional)
Sb  0.500  0.500  0.500
Tl  0.000  0.500  0.000
Mn  0.000  0.000  0.000
Sn  0.000  0.000  0.500
Sn  0.500  0.000  0.000

Theoretical density, Mg/m³: 7.24
Uncorrected formation energy, eV/atom: 0.31

***

Here is a relaxed SrMnSb2 crystal from Alexandria via LeMat-Bulk. Energies are from PBE.

abc: 4.975 4.957 4.364
angles: 90.00 90.00 90.00
Element x y z (fractional)
Mn  0.000  0.500  0.500
Sb  0.000  0.000  0.000
Sb  0.500  0.500  0.000
Sr  0.500  0.000  0.500

Theoretical density, Mg/m³: 5.96
Uncorrected formation energy, eV/atom: -0.13

***

Here is a relaxed SrMnSb2 crystal from Alexandria via LeMat-Bulk. Energies are from PBE.

abc: 5.135 4.744 5.137
angles: 90.02 90.00 90.00
Element x y z (fractional)
Mn  0.500  0.875  0.875
Sb  0.000  0.043  0.875
Sb  0.500  0.042  0.375
Sr  0.000  0.540  0.375

Theoretical density, Mg/m³: 5.12
Uncorrected formation energy, eV/atom: -0.23

***

Here is a relaxed Sr2MnSb crystal from Alexandria via LeMat-Bulk. Energies are from PBE.

abc: 5.335 5.335 4.458
angles: 90.00 90.00 90.04
Element x y z (fractional)
Mn  0.500  0.000  0.500
Sb  0.000  0.500  0.500
Sr  0.000  0.000  0.000
Sr  0.500  0.500  0.000

Theoretical density, Mg/m³: 4.61
Uncorrected formation energy, eV/atom: -0.17

***

Here is a relaxed Sr2MnSb crystal from Alexandria via LeMat-Bulk. Energies are from PBE.

abc: 11.448 11.448 8.471
angles: 47.49 47.49 90.00
Element x y z (fractional)
Sb  0.000  0.000  0.000
Sb  0.750  0.250  0.500
Mn  0.500  0.500  0.000
Mn  0.250  0.750  0.500
Sr  0.450  0.125  0.250
Sr  0.300  0.625  0.250
Sr  0.375  0.550  0.750
Sr  0.875  0.700  0.750

Theoretical density, Mg/m³: 3.57
Uncorrected formation energy, eV/atom: 0.08

***

Here is a relaxed SrMnSb crystal from Alexandria via LeMat-Bulk. Energies are from PBE.

abc: 6.408 6.408 6.408
angles: 145.50 145.50 49.59
Element x y z (fractional)
Mn  0.956  0.956  0.000
Sb  0.375  0.375  0.000
Sr  0.669  0.669  0.000

Theoretical density, Mg/m³: 5.22
Uncorrected formation energy, eV/atom: -0.04

***

Here is a relaxed SrMnSb2 crystal from Alexandria via LeMat-Bulk. Energies are from PBE.

abc: 4.266 4.266 7.442
angles: 73.37 73.37 60.00
Element x y z (fractional)
Mn  0.250  0.250  0.250
Sb  0.977  0.977  0.070
Sb  0.523  0.523  0.430
Sr  0.750  0.750  0.750

Theoretical density, Mg/m³: 5.79
Uncorrected formation energy, eV/atom: -0.38

***

Here is a relaxed SrMnSb2 crystal from Alexandria via LeMat-Bulk. Energies are from PBE.

abc: 3.785 3.785 7.950
angles: 90.00 90.00 107.08
Element x y z (fractional)
Mn  0.500  0.500  0.750
Sb  0.000  0.000  0.953
Sb  0.000  0.000  0.547
Sr  0.500  0.500  0.250

Theoretical density, Mg/m³: 5.89
Uncorrected formation energy, eV/atom: -0.19

***

Here is a relaxed SrMnSb2 crystal from Alexandria via LeMat-Bulk. Energies are from PBE.

abc: 5.083 5.083 5.083
angles: 60.00 60.00 60.00
Element x y z (fractional)
Sb  0.250  0.250  0.250
Sb  0.750  0.750  0.750
Mn  0.000  0.000  0.000
Sr  0.500  0.500  0.500

Theoretical density, Mg/m³: 6.90
Uncorrected formation energy, eV/atom: 0.26

***

Here is a relaxed SrMnSb2 crystal from Alexandria via LeMat-Bulk. Energies are from PBE.

abc: 5.619 5.619 5.619
angles: 133.43 109.61 88.68
Element x y z (fractional)
Mn  0.250  0.750  0.500
Sb  0.054  0.054  0.000
Sb  0.446  0.446  0.000
Sr  0.750  0.250  0.500

Theoretical density, Mg/m³: 5.54
Uncorrected formation energy, eV/atom: -0.25

***

Here is a relaxed SrMnSb2 crystal from Alexandria via LeMat-Bulk. Energies are from PBE.

abc: 4.130 3.565 7.601
angles: 80.74 90.00 90.00
Element x y z (fractional)
Mn  0.500  0.750  0.750
Sb  0.000  0.884  0.966
Sb  0.000  0.616  0.534
Sr  0.500  0.250  0.250

Theoretical density, Mg/m³: 5.80
Uncorrected formation energy, eV/atom: -0.23

***

Here is a relaxed SrMnSb2 crystal from Alexandria via LeMat-Bulk. Energies are from PBE.

abc: 5.753 5.753 8.804
angles: 70.93 70.93 90.00
Element x y z (fractional)
Sb  0.459  0.125  0.250
Sb  0.291  0.625  0.250
Sb  0.375  0.541  0.750
Sb  0.875  0.709  0.750
Mn  0.500  0.500  0.000
Mn  0.250  0.750  0.500
Sr  0.000  0.000  0.000
Sr  0.750  0.250  0.500

Theoretical density, Mg/m³: 4.96
Uncorrected formation energy, eV/atom: 0.08

***

Here is a relaxed Sr2MnSb crystal from Alexandria via LeMat-Bulk. Energies are from PBE.

abc: 4.556 4.736 6.681
angles: 69.25 90.00 90.00
Element x y z (fractional)
Mn  0.000  0.688  0.498
Sb  0.500  0.560  0.756
Sr  0.000  0.983  0.910
Sr  0.500  0.269  0.336

Theoretical density, Mg/m³: 4.34
Uncorrected formation energy, eV/atom: -0.32

***

Here is a relaxed Sr2MnSb crystal from Alexandria via LeMat-Bulk. Energies are from PBE.

abc: 6.922 6.922 6.922
angles: 144.23 137.03 57.10
Element x y z (fractional)
Mn  0.448  0.448  0.000
Sb  0.298  0.798  0.500
Sr  0.016  0.016  0.000
Sr  0.738  0.238  0.500

Theoretical density, Mg/m³: 4.46
Uncorrected formation energy, eV/atom: -0.20

***

Here is a relaxed SrMnSb2 crystal from Alexandria via LeMat-Bulk. Energies are from PBE.

abc: 4.323 4.325 11.203
angles: 90.00 90.00 90.00
Element x y z (fractional)
Sb  0.250  0.250  0.000
Sb  0.750  0.750  0.000
Sb  0.250  0.750  0.625
Sb  0.750  0.250  0.375
Mn  0.250  0.250  0.500
Mn  0.750  0.750  0.500
Sr  0.250  0.750  0.245
Sr  0.750  0.250  0.755

Theoretical density, Mg/m³: 6.12
Uncorrected formation energy, eV/atom: -0.27

***

Here is a relaxed Sr2MnSb crystal from Alexandria via LeMat-Bulk. Energies are from PBE.

abc: 5.520 5.520 5.520
angles: 60.00 60.00 60.00
Element x y z (fractional)
Mn  0.500  0.500  0.500
Sb  0.750  0.750  0.750
Sr  0.000  0.000  0.000
Sr  0.250  0.250  0.250

Theoretical density, Mg/m³: 4.91
Uncorrected formation energy, eV/atom: 0.16

***

Here is a relaxed SrMnSb crystal from Alexandria via LeMat-Bulk. Energies are from PBE.

abc: 5.065 5.065 5.065
angles: 60.00 60.00 60.00
Element x y z (fractional)
Mn  0.500  0.500  0.500
Sb  0.750  0.750  0.750
Sr  0.000  0.000  0.000

Theoretical density, Mg/m³: 4.78
Uncorrected formation energy, eV/atom: -0.06

***

Here is a relaxed Sr2MnSb2 crystal from Alexandria via LeMat-Bulk. Energies are from PBE.

abc: 7.769 7.769 4.970
angles: 90.00 90.00 90.00
Element x y z (fractional)
Sb  0.351  0.851  0.000
Sb  0.851  0.649  0.000
Sb  0.649  0.149  0.000
Sb  0.149  0.351  0.000
Mn  0.000  0.000  0.000
Mn  0.500  0.500  0.000
Sr  0.164  0.664  0.500
Sr  0.664  0.836  0.500
Sr  0.836  0.336  0.500
Sr  0.336  0.164  0.500

Theoretical density, Mg/m³: 5.24
Uncorrected formation energy, eV/atom: -0.48

***

Here is a relaxed SrMnSb2 crystal from Alexandria via LeMat-Bulk. Energies are from PBE.

abc: 4.442 4.499 22.494
angles: 90.00 90.00 90.00
Element x y z (fractional)
Sr  0.250  0.725  0.119
Sr  0.750  0.275  0.881
Sr  0.750  0.225  0.381
Sr  0.250  0.775  0.619
Mn  0.250  0.225  0.251
Mn  0.750  0.775  0.749
Mn  0.750  0.725  0.249
Mn  0.250  0.275  0.751
Sb  0.250  0.725  0.319
Sb  0.750  0.275  0.681
Sb  0.750  0.225  0.181
Sb  0.250  0.775  0.819
Sb  0.250  0.217  0.002
Sb  0.750  0.783  0.998
Sb  0.750  0.717  0.498
Sb  0.250  0.283  0.502

Theoretical density, Mg/m³: 5.70
Uncorrected formation energy, eV/atom: -0.43

***

Here is a relaxed SrMnSb2 crystal from Alexandria via LeMat-Bulk. Energies are from PBE.

abc: 6.883 6.883 5.041
angles: 61.53 61.53 35.80
Element x y z (fractional)
Mn  0.294  0.294  0.288
Sb  0.961  0.961  0.054
Sb  0.731  0.731  0.680
Sr  0.514  0.514  0.479

Theoretical density, Mg/m³: 5.30
Uncorrected formation energy, eV/atom: -0.18